Below is a geometry-optimized Er5Co2 structure, with properties calculated at the PBE-GGA level.

Properties
- space-group type = C2/c
- crystal system = monoclinic
- energy relative to the elements (eV/atom) = -0.205

abc: 8.4384 8.4384 6.8639
angles: 96.34 96.34 43.23
Last column: nearest neighbours and their distance in Å.
Atoms (fractional coordinates):
Co  0.8239  0.3986  0.0723  6 Er 2.63-2.85
Co  0.6014  0.1761  0.4277  6 Er 2.63-2.85
Co  0.3986  0.8239  0.5723  6 Er 2.63-2.85
Co  0.1761  0.6014  0.9277  6 Er 2.63-2.85
Er  0.7970  0.0137  0.0866  2 Co 2.63-2.69
Er  0.2154  0.3523  0.1848  2 Co 2.70-2.81
Er  0.4292  0.5708  0.2500  4 Co 2.79-2.85
Er  0.6477  0.7846  0.3152  2 Co 2.70-2.81
Er  0.9863  0.2030  0.4134  2 Co 2.63-2.69
Er  0.0137  0.7970  0.5866  2 Co 2.63-2.69
Er  0.3523  0.2154  0.6848  2 Co 2.70-2.81
Er  0.5708  0.4292  0.7500  4 Co 2.79-2.85
Er  0.7846  0.6477  0.8152  2 Co 2.70-2.81
Er  0.2030  0.9863  0.9134  2 Co 2.63-2.69


Below is a geometry-optimized Er2Co7 structure, with properties calculated at the PBE-GGA level.

Properties
- space-group type = R-3m
- crystal system = trigonal
- energy relative to the elements (eV/atom) = -0.176

abc: 4.9178 4.9178 12.2729
angles: 101.56 78.44 120.00
Last column: nearest neighbours and their distance in Å.
Atoms (fractional coordinates):
Co  0.5000  0.0000  0.0000  8 Co 2.43-2.46
Co  0.5000  0.5000  0.0000  8 Co 2.43-2.46
Co  0.0000  0.5000  0.0000  8 Co 2.43-2.46
Co  0.2782  0.7218  0.1653  6 Co 2.41-2.43
Co  0.6108  0.3892  0.1675  6 Co 2.40-2.45
Co  0.8920  0.6106  0.3292  7 Co 2.40-2.49
Co  0.3894  0.1080  0.3292  7 Co 2.40-2.49
Co  0.3894  0.6106  0.3292  7 Co 2.40-2.49
Co  0.5000  0.5000  0.5000  6 Co 2.49
Co  0.6106  0.3894  0.6708  7 Co 2.40-2.49
Co  0.6106  0.8920  0.6708  7 Co 2.40-2.49
Co  0.1080  0.3894  0.6708  7 Co 2.40-2.49
Co  0.3892  0.6108  0.8325  6 Co 2.40-2.45
Co  0.7218  0.2782  0.8347  6 Co 2.41-2.43
Er  0.9485  0.0515  0.1544  12 Co 2.84-3.07
Er  0.8516  0.1484  0.4453  12 Co 2.82-3.04, 3 Er 3.13
Er  0.1484  0.8516  0.5547  12 Co 2.82-3.04, 3 Er 3.13
Er  0.0515  0.9485  0.8456  12 Co 2.84-3.07


Below is a geometry-optimized Er3Fe2Co7 structure, with properties calculated at the PBE-GGA level.

Properties
- space-group type = R-3m
- crystal system = trigonal
- energy relative to the elements (eV/atom) = -0.207

abc: 8.3936 8.3936 8.3936
angles: 34.76 34.76 34.76
Last column: nearest neighbours and their distance in Å.
Atoms (fractional coordinates):
Co  0.5833  0.5833  0.0797  2 Fe 2.42-2.43, 5 Co 2.47-2.53
Co  0.9203  0.4167  0.4167  2 Fe 2.42-2.43, 5 Co 2.47-2.53
Co  0.4167  0.9203  0.4167  2 Fe 2.42-2.43, 5 Co 2.47-2.53
Co  0.5000  0.5000  0.5000  6 Co 2.47
Co  0.5833  0.0797  0.5833  2 Fe 2.42-2.43, 5 Co 2.47-2.53
Co  0.0797  0.5833  0.5833  2 Fe 2.42-2.43, 5 Co 2.47-2.53
Co  0.4167  0.4167  0.9203  2 Fe 2.42-2.43, 5 Co 2.47-2.53
Er  0.0000  0.0000  0.0000  6 Fe 2.90, 12 Co 3.17
Er  0.1407  0.1407  0.1407  12 Co 2.86-2.98, 3 Er 3.14
Er  0.8593  0.8593  0.8593  12 Co 2.86-2.98, 3 Er 3.14
Fe  0.3340  0.3340  0.3340  6 Co 2.42-2.43
Fe  0.6660  0.6660  0.6660  6 Co 2.42-2.43


Below is a geometry-optimized HoEr2Fe3Co6 structure, with properties calculated at the PBE-GGA level.

Properties
- space-group type = R-3m
- crystal system = trigonal
- energy relative to the elements (eV/atom) = -0.205

abc: 8.3852 8.3852 8.3852
angles: 34.99 34.99 34.99
Last column: nearest neighbours and their distance in Å.
Atoms (fractional coordinates):
Co  0.5836  0.5836  0.0796  3 Fe 2.42-2.47, 4 Co 2.50-2.54
Co  0.9204  0.4164  0.4164  3 Fe 2.42-2.47, 4 Co 2.50-2.54
Co  0.4164  0.9204  0.4164  3 Fe 2.42-2.47, 4 Co 2.50-2.54
Co  0.5836  0.0796  0.5836  3 Fe 2.42-2.47, 4 Co 2.50-2.54
Co  0.0796  0.5836  0.5836  3 Fe 2.42-2.47, 4 Co 2.50-2.54
Co  0.4164  0.4164  0.9204  3 Fe 2.42-2.47, 4 Co 2.50-2.54
Er  0.1407  0.1407  0.1407  9 Co 2.87-2.98, 3 Fe 2.97, 3 Er 3.16
Er  0.8593  0.8593  0.8593  9 Co 2.87-2.98, 3 Fe 2.97, 3 Er 3.16
Fe  0.3338  0.3338  0.3338  6 Co 2.42-2.43
Fe  0.5000  0.5000  0.5000  6 Co 2.47
Fe  0.6662  0.6662  0.6662  6 Co 2.42-2.43
Ho  0.0000  0.0000  0.0000  6 Fe 2.91, 12 Co 3.18


Below is a geometry-optimized HoEr2Fe8Co structure, with properties calculated at the PBE-GGA level.

Properties
- space-group type = R-3m
- crystal system = trigonal
- energy relative to the elements (eV/atom) = -0.124

abc: 8.5527 8.5527 8.5527
angles: 34.27 34.27 34.27
Last column: nearest neighbours and their distance in Å.
Atoms (fractional coordinates):
Co  0.5000  0.5000  0.5000  6 Fe 2.51
Er  0.1419  0.1419  0.1419  9 Fe 2.91-3.02, 3 Co 2.97, 3 Er 3.15
Er  0.8581  0.8581  0.8581  9 Fe 2.91-3.02, 3 Co 2.97, 3 Er 3.15
Fe  0.5818  0.5818  0.0814  6 Fe 2.44-2.52, 1 Co 2.51
Fe  0.3328  0.3328  0.3328  6 Fe 2.44-2.46
Fe  0.9186  0.4182  0.4182  6 Fe 2.44-2.52, 1 Co 2.51
Fe  0.4182  0.9186  0.4182  6 Fe 2.44-2.52, 1 Co 2.51
Fe  0.5818  0.0814  0.5818  6 Fe 2.44-2.52, 1 Co 2.51
Fe  0.0814  0.5818  0.5818  6 Fe 2.44-2.52, 1 Co 2.51
Fe  0.6672  0.6672  0.6672  6 Fe 2.44-2.46
Fe  0.4182  0.4182  0.9186  6 Fe 2.44-2.52, 1 Co 2.51
Ho  0.0000  0.0000  0.0000  18 Fe 2.91-3.20


Below is a geometry-optimized Ho2ErFe3Co6 structure, with properties calculated at the PBE-GGA level.

Properties
- space-group type = R-3m
- crystal system = trigonal
- energy relative to the elements (eV/atom) = -0.196

abc: 8.3757 8.3757 8.3757
angles: 35.06 35.06 35.06
Last column: nearest neighbours and their distance in Å.
Atoms (fractional coordinates):
Co  0.5823  0.5823  0.0806  3 Fe 2.41-2.48, 4 Co 2.51-2.53
Co  0.9194  0.4177  0.4177  3 Fe 2.41-2.48, 4 Co 2.51-2.53
Co  0.4177  0.9194  0.4177  3 Fe 2.41-2.48, 4 Co 2.51-2.53
Co  0.5823  0.0806  0.5823  3 Fe 2.41-2.48, 4 Co 2.51-2.53
Co  0.0806  0.5823  0.5823  3 Fe 2.41-2.48, 4 Co 2.51-2.53
Co  0.4177  0.4177  0.9194  3 Fe 2.41-2.48, 4 Co 2.51-2.53
Er  0.0000  0.0000  0.0000  6 Fe 2.91, 12 Co 3.17
Fe  0.3333  0.3333  0.3333  6 Co 2.41-2.42
Fe  0.5000  0.5000  0.5000  6 Co 2.48
Fe  0.6667  0.6667  0.6667  6 Co 2.41-2.42
Ho  0.1407  0.1407  0.1407  9 Co 2.88-2.99, 3 Fe 2.98, 3 Ho 3.16
Ho  0.8593  0.8593  0.8593  9 Co 2.88-2.99, 3 Fe 2.98, 3 Ho 3.16


Below is a geometry-optimized HoEr2Fe6Co3 structure, with properties calculated at the PBE-GGA level.

Properties
- space-group type = R-3m
- crystal system = trigonal
- energy relative to the elements (eV/atom) = -0.142

abc: 8.5840 8.5840 8.5840
angles: 34.06 34.06 34.06
Last column: nearest neighbours and their distance in Å.
Atoms (fractional coordinates):
Co  0.3326  0.3326  0.3326  6 Fe 2.44-2.48
Co  0.5000  0.5000  0.5000  6 Fe 2.52
Co  0.6674  0.6674  0.6674  6 Fe 2.44-2.48
Er  0.1421  0.1421  0.1421  9 Fe 2.91-3.02, 3 Co 2.96, 3 Er 3.14
Er  0.8579  0.8579  0.8579  9 Fe 2.91-3.02, 3 Co 2.96, 3 Er 3.14
Fe  0.5823  0.5823  0.0814  3 Co 2.44-2.52, 4 Fe 2.51-2.52
Fe  0.9186  0.4177  0.4177  3 Co 2.44-2.52, 4 Fe 2.51-2.52
Fe  0.4177  0.9186  0.4177  3 Co 2.44-2.52, 4 Fe 2.51-2.52
Fe  0.5823  0.0814  0.5823  3 Co 2.44-2.52, 4 Fe 2.51-2.52
Fe  0.0814  0.5823  0.5823  3 Co 2.44-2.52, 4 Fe 2.51-2.52
Fe  0.4177  0.4177  0.9186  3 Co 2.44-2.52, 4 Fe 2.51-2.52
Ho  0.0000  0.0000  0.0000  6 Co 2.90, 12 Fe 3.20


Below is a geometry-optimized Ho2ErFe6Co3 structure, with properties calculated at the PBE-GGA level.

Properties
- space-group type = R-3m
- crystal system = trigonal
- energy relative to the elements (eV/atom) = -0.133

abc: 8.5962 8.5962 8.5962
angles: 34.00 34.00 34.00
Last column: nearest neighbours and their distance in Å.
Atoms (fractional coordinates):
Co  0.3326  0.3326  0.3326  6 Fe 2.44-2.47
Co  0.5000  0.5000  0.5000  6 Fe 2.52
Co  0.6674  0.6674  0.6674  6 Fe 2.44-2.47
Er  0.0000  0.0000  0.0000  6 Co 2.90, 12 Fe 3.20
Fe  0.5818  0.5818  0.0814  3 Co 2.44-2.52, 4 Fe 2.51-2.52
Fe  0.9186  0.4182  0.4182  3 Co 2.44-2.52, 4 Fe 2.51-2.52
Fe  0.4182  0.9186  0.4182  3 Co 2.44-2.52, 4 Fe 2.51-2.52
Fe  0.5818  0.0814  0.5818  3 Co 2.44-2.52, 4 Fe 2.51-2.52
Fe  0.0814  0.5818  0.5818  3 Co 2.44-2.52, 4 Fe 2.51-2.52
Fe  0.4182  0.4182  0.9186  3 Co 2.44-2.52, 4 Fe 2.51-2.52
Ho  0.1420  0.1420  0.1420  9 Fe 2.91-3.03, 3 Co 2.96, 3 Ho 3.14
Ho  0.8580  0.8580  0.8580  9 Fe 2.91-3.03, 3 Co 2.96, 3 Ho 3.14


Below is a geometry-optimized HoEr2Fe2Co7 structure, with properties calculated at the PBE-GGA level.

Properties
- space-group type = R-3m
- crystal system = trigonal
- energy relative to the elements (eV/atom) = -0.205

abc: 8.4076 8.4076 8.4076
angles: 34.76 34.76 34.76
Last column: nearest neighbours and their distance in Å.
Atoms (fractional coordinates):
Co  0.5836  0.5836  0.0794  2 Fe 2.42-2.43, 5 Co 2.48-2.53
Co  0.9206  0.4164  0.4164  2 Fe 2.42-2.43, 5 Co 2.48-2.53
Co  0.4164  0.9206  0.4164  2 Fe 2.42-2.43, 5 Co 2.48-2.53
Co  0.5000  0.5000  0.5000  6 Co 2.48
Co  0.5836  0.0794  0.5836  2 Fe 2.42-2.43, 5 Co 2.48-2.53
Co  0.0794  0.5836  0.5836  2 Fe 2.42-2.43, 5 Co 2.48-2.53
Co  0.4164  0.4164  0.9206  2 Fe 2.42-2.43, 5 Co 2.48-2.53
Er  0.1408  0.1408  0.1408  12 Co 2.87-2.98, 3 Er 3.15
Er  0.8592  0.8592  0.8592  12 Co 2.87-2.98, 3 Er 3.15
Fe  0.3340  0.3340  0.3340  6 Co 2.42-2.43
Fe  0.6660  0.6660  0.6660  6 Co 2.42-2.43
Ho  0.0000  0.0000  0.0000  6 Fe 2.90, 12 Co 3.18


Below is a geometry-optimized Ho2ErFeCo2Ni6 structure, with properties calculated at the PBE-GGA level.

Properties
- space-group type = R-3m
- crystal system = trigonal
- energy relative to the elements (eV/atom) = -0.267

abc: 8.5848 8.5848 8.5848
angles: 33.27 33.27 33.27
Last column: nearest neighbours and their distance in Å.
Atoms (fractional coordinates):
Co  0.3331  0.3331  0.3331  6 Ni 2.44-2.45
Co  0.6669  0.6669  0.6669  6 Ni 2.44-2.45
Er  0.0000  0.0000  0.0000  6 Co 2.84, 12 Ni 3.16
Fe  0.5000  0.5000  0.5000  6 Ni 2.50
Ho  0.1395  0.1395  0.1395  9 Ni 2.83-3.07, 3 Fe 2.91, 3 Ho 3.13
Ho  0.8605  0.8605  0.8605  9 Ni 2.83-3.07, 3 Fe 2.91, 3 Ho 3.13
Ni  0.5813  0.5813  0.0832  2 Co 2.44-2.45, 4 Ni 2.45-2.47, 1 Fe 2.50
Ni  0.9168  0.4187  0.4187  2 Co 2.44-2.45, 4 Ni 2.45-2.47, 1 Fe 2.50
Ni  0.4187  0.9168  0.4187  2 Co 2.44-2.45, 4 Ni 2.45-2.47, 1 Fe 2.50
Ni  0.5813  0.0832  0.5813  2 Co 2.44-2.45, 4 Ni 2.45-2.47, 1 Fe 2.50
Ni  0.0832  0.5813  0.5813  2 Co 2.44-2.45, 4 Ni 2.45-2.47, 1 Fe 2.50
Ni  0.4187  0.4187  0.9168  2 Co 2.44-2.45, 4 Ni 2.45-2.47, 1 Fe 2.50


Question: energy relative to the elements of number 10 (Ho2ErFeCo2Ni6)?
Answer: -0.267 eV/atom